# 1
LiTbAg3 | PBE | relaxed

CIF file:
```
data_LiTbAg3
_space_group_name_H-M_alt 'P 1'
_space_group_IT_number 1
_cell_length_a 9.970
_cell_length_b 5.471
_cell_length_c 7.478
_cell_angle_alpha 90.00
_cell_angle_beta 95.07
_cell_angle_gamma 90.00
loop_
_space_group_symop_operation_xyz
'x,y,z'
loop_
_atom_site_label
_atom_site_type_symbol
_atom_site_fract_x
_atom_site_fract_y
_atom_site_fract_z
Li1 Li 0.045 0.114 0.333
Li2 Li 0.045 0.386 0.833
Li3 Li 0.955 0.614 0.167
Li4 Li 0.955 0.886 0.667
Tb1 Tb 0.362 0.646 0.794
Tb2 Tb 0.362 0.854 0.294
Tb3 Tb 0.638 0.146 0.706
Tb4 Tb 0.638 0.354 0.206
Ag1 Ag 0.131 0.602 0.486
Ag2 Ag 0.131 0.898 0.986
Ag3 Ag 0.210 0.091 0.636
Ag4 Ag 0.210 0.409 0.136
Ag5 Ag 0.394 0.155 0.951
Ag6 Ag 0.394 0.345 0.451
Ag7 Ag 0.606 0.655 0.549
Ag8 Ag 0.606 0.845 0.049
Ag9 Ag 0.790 0.591 0.864
Ag10 Ag 0.790 0.909 0.364
Ag11 Ag 0.869 0.102 0.014
Ag12 Ag 0.869 0.398 0.514
```

* theoretical density: 8001 kg/m³
* polymorph energy (0 for the lowest one): 0 meV per atom
* total magnetization: 0.00 μB per cell
* energy of formation: -0.2158 eV per atom
* energy: -3.235 eV/atom
* crystal system: monoclinic

# 2
LiTb3Ag4 | PBE | relaxed

CIF file:
```
data_LiTb3Ag4
_space_group_name_H-M_alt 'P 1'
_space_group_IT_number 1
_cell_length_a 8.744
_cell_length_b 8.744
_cell_length_c 8.744
_cell_angle_alpha 33.71
_cell_angle_beta 33.71
_cell_angle_gamma 33.71
loop_
_space_group_symop_operation_xyz
'x,y,z'
loop_
_atom_site_label
_atom_site_type_symbol
_atom_site_fract_x
_atom_site_fract_y
_atom_site_fract_z
Li1 Li 0.000 0.000 0.000
Tb1 Tb 0.254 0.254 0.254
Tb2 Tb 0.500 0.500 0.500
Tb3 Tb 0.746 0.746 0.746
Ag1 Ag 0.123 0.123 0.123
Ag2 Ag 0.376 0.376 0.376
Ag3 Ag 0.624 0.624 0.624
Ag4 Ag 0.877 0.877 0.877
```

* theoretical density: 8285 kg/m³
* total magnetization: 0.00 μB per cell
* energy of formation: -0.2492 eV per atom
* energy: -3.650 eV/atom
* crystal system: trigonal

# 3
Li4TbAg | PBE | relaxed

CIF file:
```
data_Li4TbAg
_space_group_name_H-M_alt 'P 1'
_space_group_IT_number 1
_cell_length_a 5.406
_cell_length_b 5.406
_cell_length_c 5.406
_cell_angle_alpha 60.00
_cell_angle_beta 60.00
_cell_angle_gamma 60.00
loop_
_space_group_symop_operation_xyz
'x,y,z'
loop_
_atom_site_label
_atom_site_type_symbol
_atom_site_fract_x
_atom_site_fract_y
_atom_site_fract_z
Li1 Li 0.122 0.122 0.122
Li2 Li 0.122 0.122 0.633
Li3 Li 0.122 0.633 0.122
Li4 Li 0.633 0.122 0.122
Tb1 Tb 0.500 0.500 0.500
Ag1 Ag 0.750 0.750 0.750
```

* theoretical density: 4378 kg/m³
* total magnetization: 0.01 μB per cell
* energy of formation: 0.0222 eV per atom
* energy: -2.501 eV/atom
* crystal system: cubic

# 4
Li2TbAg | PBE | relaxed

CIF file:
```
data_Li2TbAg
_space_group_name_H-M_alt 'P 1'
_space_group_IT_number 1
_cell_length_a 8.216
_cell_length_b 4.577
_cell_length_c 5.248
_cell_angle_alpha 90.00
_cell_angle_beta 119.50
_cell_angle_gamma 90.00
loop_
_space_group_symop_operation_xyz
'x,y,z'
loop_
_atom_site_label
_atom_site_type_symbol
_atom_site_fract_x
_atom_site_fract_y
_atom_site_fract_z
Li1 Li 0.000 0.000 0.000
Li2 Li 0.227 0.500 0.182
Li3 Li 0.500 0.500 0.000
Li4 Li 0.727 0.000 0.182
Tb1 Tb 0.219 0.000 0.658
Tb2 Tb 0.719 0.500 0.658
Ag1 Ag 0.440 0.000 0.325
Ag2 Ag 0.940 0.500 0.325
```

* theoretical density: 5426 kg/m³
* polymorph energy (0 for the lowest one): 0 meV per atom
* total magnetization: 0.00 μB per cell
* energy of formation: -0.0385 eV per atom
* energy: -2.866 eV/atom
* crystal system: monoclinic

# 5
LiTb2Ag6 | PBE | relaxed

CIF file:
```
data_LiTb2Ag6
_space_group_name_H-M_alt 'P 1'
_space_group_IT_number 1
_cell_length_a 6.193
_cell_length_b 6.193
_cell_length_c 5.575
_cell_angle_alpha 90.00
_cell_angle_beta 90.00
_cell_angle_gamma 120.00
loop_
_space_group_symop_operation_xyz
'x,y,z'
loop_
_atom_site_label
_atom_site_type_symbol
_atom_site_fract_x
_atom_site_fract_y
_atom_site_fract_z
Li1 Li 0.000 0.000 0.000
Tb1 Tb 0.333 0.667 0.829
Tb2 Tb 0.667 0.333 0.171
Ag1 Ag 0.178 0.356 0.310
Ag2 Ag 0.178 0.822 0.310
Ag3 Ag 0.356 0.178 0.690
Ag4 Ag 0.644 0.822 0.310
Ag5 Ag 0.822 0.178 0.690
Ag6 Ag 0.822 0.644 0.690
```

* theoretical density: 8713 kg/m³
* polymorph energy (0 for the lowest one): 0 meV per atom
* total magnetization: 0.00 μB per cell
* energy of formation: -0.1765 eV per atom
* energy: -3.319 eV/atom
* crystal system: trigonal

# 6
LiTbAg2 | PBE | relaxed

CIF file:
```
data_LiTbAg2
_space_group_name_H-M_alt 'P 1'
_space_group_IT_number 1
_cell_length_a 4.661
_cell_length_b 4.661
_cell_length_c 13.527
_cell_angle_alpha 90.00
_cell_angle_beta 90.00
_cell_angle_gamma 120.00
loop_
_space_group_symop_operation_xyz
'x,y,z'
loop_
_atom_site_label
_atom_site_type_symbol
_atom_site_fract_x
_atom_site_fract_y
_atom_site_fract_z
Li1 Li 0.000 0.000 0.000
Li2 Li 0.333 0.667 0.667
Li3 Li 0.667 0.333 0.333
Tb1 Tb 0.000 0.000 0.500
Tb2 Tb 0.333 0.667 0.167
Tb3 Tb 0.667 0.333 0.833
Ag1 Ag 0.000 0.000 0.277
Ag2 Ag 0.000 0.000 0.723
Ag3 Ag 0.333 0.667 0.390
Ag4 Ag 0.333 0.667 0.944
Ag5 Ag 0.667 0.333 0.056
Ag6 Ag 0.667 0.333 0.610
```

* theoretical density: 7468 kg/m³
* polymorph energy (0 for the lowest one): 8 meV per atom
* total magnetization: 0.00 μB per cell
* energy of formation: -0.2208 eV per atom
* energy: -3.282 eV/atom
* crystal system: trigonal

# 7
LiTbAg2 | PBE | relaxed

CIF file:
```
data_LiTbAg2
_space_group_name_H-M_alt 'P 1'
_space_group_IT_number 1
_cell_length_a 5.004
_cell_length_b 5.004
_cell_length_c 3.435
_cell_angle_alpha 90.00
_cell_angle_beta 90.00
_cell_angle_gamma 90.00
loop_
_space_group_symop_operation_xyz
'x,y,z'
loop_
_atom_site_label
_atom_site_type_symbol
_atom_site_fract_x
_atom_site_fract_y
_atom_site_fract_z
Li1 Li 0.000 0.000 0.000
Tb1 Tb 0.500 0.500 0.000
Ag1 Ag 0.000 0.500 0.500
Ag2 Ag 0.500 0.000 0.500
```

* theoretical density: 7367 kg/m³
* polymorph energy (0 for the lowest one): 61 meV per atom
* total magnetization: 0.00 μB per cell
* energy of formation: -0.1677 eV per atom
* energy: -3.229 eV/atom
* crystal system: tetragonal

# 8
Li2TbAg | PBE | relaxed

CIF file:
```
data_Li2TbAg
_space_group_name_H-M_alt 'P 1'
_space_group_IT_number 1
_cell_length_a 6.822
_cell_length_b 6.822
_cell_length_c 6.822
_cell_angle_alpha 90.00
_cell_angle_beta 90.00
_cell_angle_gamma 90.00
loop_
_space_group_symop_operation_xyz
'x,y,z'
loop_
_atom_site_label
_atom_site_type_symbol
_atom_site_fract_x
_atom_site_fract_y
_atom_site_fract_z
Li1 Li 0.250 0.250 0.250
Li2 Li 0.250 0.250 0.750
Li3 Li 0.250 0.750 0.250
Li4 Li 0.250 0.750 0.750
Li5 Li 0.750 0.250 0.250
Li6 Li 0.750 0.250 0.750
Li7 Li 0.750 0.750 0.250
Li8 Li 0.750 0.750 0.750
Tb1 Tb 0.000 0.000 0.000
Tb2 Tb 0.000 0.500 0.500
Tb3 Tb 0.500 0.000 0.500
Tb4 Tb 0.500 0.500 0.000
Ag1 Ag 0.000 0.000 0.500
Ag2 Ag 0.000 0.500 0.000
Ag3 Ag 0.500 0.000 0.000
Ag4 Ag 0.500 0.500 0.500
```

* theoretical density: 5871 kg/m³
* polymorph energy (0 for the lowest one): 66 meV per atom
* total magnetization: 0.00 μB per cell
* energy of formation: 0.0273 eV per atom
* energy: -2.800 eV/atom
* crystal system: cubic

# 9
LiTbAg2 | PBE | relaxed

CIF file:
```
data_LiTbAg2
_space_group_name_H-M_alt 'P 1'
_space_group_IT_number 1
_cell_length_a 4.804
_cell_length_b 6.589
_cell_length_c 5.271
_cell_angle_alpha 90.00
_cell_angle_beta 90.00
_cell_angle_gamma 90.00
loop_
_space_group_symop_operation_xyz
'x,y,z'
loop_
_atom_site_label
_atom_site_type_symbol
_atom_site_fract_x
_atom_site_fract_y
_atom_site_fract_z
Li1 Li 0.250 0.250 0.248
Li2 Li 0.750 0.750 0.752
Tb1 Tb 0.250 0.750 0.329
Tb2 Tb 0.750 0.250 0.671
Ag1 Ag 0.250 0.511 0.827
Ag2 Ag 0.250 0.989 0.827
Ag3 Ag 0.750 0.011 0.173
Ag4 Ag 0.750 0.489 0.173
```

* theoretical density: 7595 kg/m³
* polymorph energy (0 for the lowest one): 0 meV per atom
* total magnetization: 0.00 μB per cell
* energy of formation: -0.2289 eV per atom
* energy: -3.291 eV/atom
* crystal system: orthorhombic

# 10
LiTbAg2 | PBE | relaxed

CIF file:
```
data_LiTbAg2
_space_group_name_H-M_alt 'P 1'
_space_group_IT_number 1
_cell_length_a 3.484
_cell_length_b 3.484
_cell_length_c 6.776
_cell_angle_alpha 90.00
_cell_angle_beta 90.00
_cell_angle_gamma 90.00
loop_
_space_group_symop_operation_xyz
'x,y,z'
loop_
_atom_site_label
_atom_site_type_symbol
_atom_site_fract_x
_atom_site_fract_y
_atom_site_fract_z
Li1 Li 0.000 0.000 0.000
Tb1 Tb 0.000 0.000 0.500
Ag1 Ag 0.500 0.500 0.214
Ag2 Ag 0.500 0.500 0.786
```

* theoretical density: 7704 kg/m³
* polymorph energy (0 for the lowest one): 4 meV per atom
* total magnetization: 0.00 μB per cell
* energy of formation: -0.2248 eV per atom
* energy: -3.286 eV/atom
* crystal system: tetragonal

# 11
Li2TbAg | PBE | relaxed

CIF file:
```
data_Li2TbAg
_space_group_name_H-M_alt 'P 1'
_space_group_IT_number 1
_cell_length_a 3.160
_cell_length_b 3.160
_cell_length_c 31.207
_cell_angle_alpha 90.00
_cell_angle_beta 90.00
_cell_angle_gamma 120.00
loop_
_space_group_symop_operation_xyz
'x,y,z'
loop_
_atom_site_label
_atom_site_type_symbol
_atom_site_fract_x
_atom_site_fract_y
_atom_site_fract_z
Li1 Li 0.000 0.000 0.099
Li2 Li 0.000 0.000 0.901
Li3 Li 0.333 0.667 0.568
Li4 Li 0.333 0.667 0.766
Li5 Li 0.667 0.333 0.234
Li6 Li 0.667 0.333 0.432
Tb1 Tb 0.000 0.000 0.000
Tb2 Tb 0.333 0.667 0.667
Tb3 Tb 0.667 0.333 0.333
Ag1 Ag 0.000 0.000 0.500
Ag2 Ag 0.333 0.667 0.167
Ag3 Ag 0.667 0.333 0.833
```

* theoretical density: 5182 kg/m³
* polymorph energy (0 for the lowest one): 169 meV per atom
* total magnetization: 0.00 μB per cell
* energy of formation: 0.1302 eV per atom
* energy: -2.697 eV/atom
* crystal system: trigonal

# 12
LiTb6Ag5 | PBE | relaxed

CIF file:
```
data_LiTb6Ag5
_space_group_name_H-M_alt 'P 1'
_space_group_IT_number 1
_cell_length_a 8.976
_cell_length_b 8.976
_cell_length_c 5.175
_cell_angle_alpha 106.70
_cell_angle_beta 106.70
_cell_angle_gamma 47.78
loop_
_space_group_symop_operation_xyz
'x,y,z'
loop_
_atom_site_label
_atom_site_type_symbol
_atom_site_fract_x
_atom_site_fract_y
_atom_site_fract_z
Li1 Li 0.000 0.000 0.000
Tb1 Tb 0.083 0.579 0.831
Tb2 Tb 0.255 0.745 0.500
Tb3 Tb 0.421 0.917 0.169
Tb4 Tb 0.579 0.083 0.831
Tb5 Tb 0.745 0.255 0.500
Tb6 Tb 0.917 0.421 0.169
Ag1 Ag 0.158 0.158 0.658
Ag2 Ag 0.333 0.333 0.333
Ag3 Ag 0.500 0.500 0.000
Ag4 Ag 0.667 0.667 0.667
Ag5 Ag 0.842 0.842 0.342
```

* theoretical density: 8496 kg/m³
* total magnetization: 0.00 μB per cell
* energy of formation: -0.2497 eV per atom
* energy: -3.912 eV/atom
* crystal system: monoclinic

> The lowest energy belongs to which entry?

LiTb6Ag5

> energy of formation of number 8 (Li2TbAg)?

0.0273 eV per atom

> What is the formula in the seventh record?

LiTbAg2

What did the eleventh record say?
Li2TbAg | PBE | relaxed

CIF file:
```
data_Li2TbAg
_space_group_name_H-M_alt 'P 1'
_space_group_IT_number 1
_cell_length_a 3.160
_cell_length_b 3.160
_cell_length_c 31.207
_cell_angle_alpha 90.00
_cell_angle_beta 90.00
_cell_angle_gamma 120.00
loop_
_space_group_symop_operation_xyz
'x,y,z'
loop_
_atom_site_label
_atom_site_type_symbol
_atom_site_fract_x
_atom_site_fract_y
_atom_site_fract_z
Li1 Li 0.000 0.000 0.099
Li2 Li 0.000 0.000 0.901
Li3 Li 0.333 0.667 0.568
Li4 Li 0.333 0.667 0.766
Li5 Li 0.667 0.333 0.234
Li6 Li 0.667 0.333 0.432
Tb1 Tb 0.000 0.000 0.000
Tb2 Tb 0.333 0.667 0.667
Tb3 Tb 0.667 0.333 0.333
Ag1 Ag 0.000 0.000 0.500
Ag2 Ag 0.333 0.667 0.167
Ag3 Ag 0.667 0.333 0.833
```

* theoretical density: 5182 kg/m³
* polymorph energy (0 for the lowest one): 169 meV per atom
* total magnetization: 0.00 μB per cell
* energy of formation: 0.1302 eV per atom
* energy: -2.697 eV/atom
* crystal system: trigonal